Record 1
Li4ZrO4 | PBEsol | relaxed

Properties
Raw formation energy, eV/atom: -2.421

a b c (Å): 5.478 5.478 6.366
angles (deg): 90.00 90.00 83.63
Sites, in units of the cell vectors:
Li1 0.100 0.614 0.750
Li2 0.344 0.344 0.000
Li3 0.344 0.344 0.500
Li4 0.386 0.900 0.750
Li5 0.614 0.100 0.250
Li6 0.656 0.656 0.000
Li7 0.656 0.656 0.500
Li8 0.900 0.386 0.250
Zr1 0.152 0.848 0.250
Zr2 0.848 0.152 0.750
O1 0.193 0.227 0.750
O2 0.227 0.193 0.250
O3 0.296 0.704 0.511
O4 0.296 0.704 0.989
O5 0.704 0.296 0.011
O6 0.704 0.296 0.489
O7 0.773 0.807 0.750
O8 0.807 0.773 0.250

Record 2
NdGa4Co9 | PBEsol | relaxed

Properties
Formation energy, meV per atom: -262

a b c (Å): 7.996 7.996 7.996
angles (deg): 121.23 121.23 87.89
Sites, in units of the cell vectors:
Nd1 0.250 0.250 0.000
Nd2 0.750 0.750 0.000
Ga1 0.054 0.554 0.860
Ga2 0.194 0.054 0.500
Ga3 0.306 0.806 0.860
Ga4 0.446 0.306 0.500
Ga5 0.554 0.694 0.500
Ga6 0.694 0.194 0.140
Ga7 0.806 0.946 0.500
Ga8 0.946 0.446 0.140
Co1 0.000 0.500 0.500
Co2 0.061 0.788 0.500
Co3 0.062 0.199 0.260
Co4 0.199 0.938 0.137
Co5 0.212 0.712 0.273
Co6 0.288 0.561 0.500
Co7 0.301 0.438 0.740
Co8 0.438 0.699 0.137
Co9 0.439 0.939 0.727
Co10 0.500 0.000 0.500
Co11 0.561 0.061 0.273
Co12 0.562 0.301 0.863
Co13 0.699 0.562 0.260
Co14 0.712 0.439 0.500
Co15 0.788 0.288 0.727
Co16 0.801 0.062 0.863
Co17 0.938 0.801 0.740
Co18 0.939 0.212 0.500

Record 3
TiIn2BRu | PBEsol | relaxed

Properties
Formation energy, meV per atom: 1114

a b c (Å): 5.069 5.069 4.444
angles (deg): 90.00 90.00 90.00
Sites, in units of the cell vectors:
Ti1 0.000 0.000 0.000
In1 0.000 0.500 0.500
In2 0.500 0.000 0.500
B1 0.500 0.500 0.000
Ru1 0.000 0.000 0.500

Record 4
MgNbP2 | PBEsol | relaxed

Properties
Formation energy, meV per atom: -168

a b c (Å): 6.893 6.893 6.893
angles (deg): 130.31 130.31 72.91
Sites, in units of the cell vectors:
Mg1 0.000 0.000 0.000
Mg2 0.750 0.250 0.500
Nb1 0.250 0.750 0.500
Nb2 0.500 0.500 0.000
P1 0.148 0.625 0.023
P2 0.375 0.398 0.523
P3 0.602 0.125 0.977
P4 0.875 0.852 0.477

Record 5
CdGeWCl2 | PBEsol | relaxed

Properties
Raw formation energy, eV/atom: 1.295

a b c (Å): 4.739 4.739 6.078
angles (deg): 90.00 90.00 90.00
Sites, in units of the cell vectors:
Cd1 0.000 0.000 0.000
Ge1 0.500 0.500 0.500
W1 0.000 0.000 0.500
Cl1 0.000 0.500 0.000
Cl2 0.500 0.000 0.000

Record 6
ReSbTe2Se | PBEsol | relaxed

Properties
Raw formation energy, eV/atom: 1.676

a b c (Å): 5.330 5.330 5.191
angles (deg): 90.00 90.00 90.00
Sites, in units of the cell vectors:
Re1 0.000 0.000 0.000
Sb1 0.500 0.500 0.000
Te1 0.000 0.500 0.500
Te2 0.500 0.000 0.500
Se1 0.500 0.500 0.500

Record 7
ScTlCu2 | PBEsol | relaxed

Properties
Formation energy, meV per atom: -65

a b c (Å): 4.528 4.528 4.528
angles (deg): 60.00 60.00 60.00
Sites, in units of the cell vectors:
Sc1 0.000 0.000 0.000
Tl1 0.250 0.250 0.250
Cu1 0.500 0.500 0.500
Cu2 0.750 0.750 0.750

Record 8
TaTc2As | PBEsol | relaxed

Properties
Formation energy, meV per atom: -112

a b c (Å): 5.161 5.161 5.161
angles (deg): 145.91 128.97 62.79
Sites, in units of the cell vectors:
Ta1 0.000 0.000 0.000
Tc1 0.274 0.774 0.500
Tc2 0.726 0.226 0.500
As1 0.500 0.500 0.000

Record 9
Fe3HIr | PBEsol | relaxed

Properties
VASP energy, eV/f.u.: -40.1

a b c (Å): 3.570 3.570 3.570
angles (deg): 90.00 90.00 90.00
Sites, in units of the cell vectors:
Fe1 0.000 0.000 0.500
Fe2 0.000 0.500 0.000
Fe3 0.500 0.000 0.000
H1 0.000 0.000 0.000
Ir1 0.500 0.500 0.500

Record 10
Re2TcAs | PBEsol | relaxed

Properties
Formation energy, meV per atom: 235

a b c (Å): 4.851 4.851 4.436
angles (deg): 95.39 95.39 34.44
Sites, in units of the cell vectors:
Re1 0.234 0.234 0.238
Re2 0.766 0.766 0.762
Tc1 0.500 0.500 0.000
As1 0.000 0.000 0.500

Record 11
TiNi3C | PBEsol | relaxed

Properties
Formation energy, meV per atom: 2267

a b c (Å): 4.195 4.195 4.195
angles (deg): 90.00 90.00 90.00
Sites, in units of the cell vectors:
Ti1 0.000 0.000 0.000
Ni1 0.000 0.000 0.500
Ni2 0.000 0.500 0.000
Ni3 0.500 0.000 0.000
C1 0.500 0.500 0.500

Record 12
ReSiBr | PBEsol | relaxed

Properties
Raw formation energy, eV/atom: 1.300

a b c (Å): 4.224 4.224 4.224
angles (deg): 60.00 60.00 60.00
Sites, in units of the cell vectors:
Re1 0.000 0.000 0.000
Si1 0.250 0.250 0.250
Br1 0.500 0.500 0.500

Record 13
LiCoSi | PBEsol | relaxed

Properties
Raw formation energy, eV/atom: -0.033

a b c (Å): 2.636 2.636 6.072
angles (deg): 90.00 90.00 120.00
Sites, in units of the cell vectors:
Li1 0.000 0.000 0.000
Co1 0.333 0.667 0.351
Si1 0.667 0.333 0.635